# Ta10W3 | OQMD | PBE-GGA | optimized geometry
data_Ta10W3
_chemical_formula_sum 'Ta10 W3'
_space_group_name_H-M_alt 'P 1'
_space_group_IT_number 1
_space_group_name_Hall 'P 1'
_cell_length_a 9.855
_cell_length_b 9.855
_cell_length_c 9.855
_cell_angle_alpha 31.99
_cell_angle_beta 31.99
_cell_angle_gamma 31.99
loop_
_atom_site_label
_atom_site_type_symbol
_atom_site_fract_x
_atom_site_fract_y
_atom_site_fract_z
Ta1 Ta 0.589 0.093 0.093
Ta2 Ta 0.093 0.589 0.093
Ta3 Ta 0.167 0.167 0.167
Ta4 Ta 0.907 0.907 0.411
Ta5 Ta 0.453 0.453 0.453
Ta6 Ta 0.547 0.547 0.547
Ta7 Ta 0.093 0.093 0.589
Ta8 Ta 0.833 0.833 0.833
Ta9 Ta 0.907 0.411 0.907
Ta10 Ta 0.411 0.907 0.907
W1 W 0.000 0.000 0.000
W2 W 0.353 0.353 0.353
W3 W 0.647 0.647 0.647
# - Crystal system: trigonal
# - ΔH_f (0 K): 0.220 eV per atom
# - E above lowest polymorph: 2.11 kcal/mol of atoms


# NdLuNO | OQMD | PBE-GGA | optimized geometry
data_NdLuNO
_chemical_formula_sum 'Nd2 Lu2 N2 O2'
_space_group_name_H-M_alt 'P 1'
_space_group_IT_number 1
_space_group_name_Hall 'P 1'
_cell_length_a 3.969
_cell_length_b 4.989
_cell_length_c 6.986
_cell_angle_alpha 90.00
_cell_angle_beta 90.00
_cell_angle_gamma 90.00
loop_
_atom_site_label
_atom_site_type_symbol
_atom_site_fract_x
_atom_site_fract_y
_atom_site_fract_z
Lu1 Lu 0.500 0.949 0.170
Lu2 Lu 0.500 0.449 0.830
N1 N 0.000 0.942 0.308
N2 N 0.000 0.442 0.692
Nd1 Nd 0.000 0.441 0.344
Nd2 Nd 0.000 0.941 0.656
O1 O 0.500 0.422 0.139
O2 O 0.500 0.922 0.861
# - Crystal system: orthorhombic
# - E above lowest polymorph: 1.36 kcal/mol of atoms


# SrGaSiAg2 | OQMD | PBE-GGA | optimized geometry
data_SrGaSiAg2
_chemical_formula_sum 'Sr1 Ga1 Si1 Ag2'
_space_group_name_H-M_alt 'P 1'
_space_group_IT_number 1
_space_group_name_Hall 'P 1'
_cell_length_a 6.132
_cell_length_b 6.132
_cell_length_c 6.132
_cell_angle_alpha 136.56
_cell_angle_beta 136.56
_cell_angle_gamma 63.12
loop_
_atom_site_label
_atom_site_type_symbol
_atom_site_fract_x
_atom_site_fract_y
_atom_site_fract_z
Ag1 Ag 0.745 0.245 0.500
Ag2 Ag 0.245 0.745 0.500
Ga1 Ga 0.387 0.387 0.000
Si1 Si 0.622 0.622 0.000
Sr1 Sr 0.002 0.002 0.000
# - Crystal system: tetragonal
# - Total DFT energy (no corrections): -17.3 eV/cell